A | Below is a relaxed structure of NiAs2BrF, with properties calculated at the PBE+U level. Values from VASP.

V (Å³/cell): 98.8
Mass density (g/cm³): 5.2

Cell and atoms, written as Quantum ESPRESSO input:
```
&SYSTEM
  ibrav = 0, nat = 5, ntyp = 4
/
ATOMIC_SPECIES
F 19.00 F.upf
Ni 58.69 Ni.upf
As 74.92 As.upf
Br 79.90 Br.upf
ATOMIC_POSITIONS angstrom
F -2.202 -2.518 2.210
Ni 0.000 0.000 0.000
As -2.187 -0.415 -0.353
As -0.406 0.269 2.201
Br 0.391 -2.372 0.362
CELL_PARAMETERS angstrom
-0.812 0.537 4.402
-4.375 -0.829 -0.706
0.782 -4.744 0.723
```

B | Below is a relaxed structure of NiAs2BrF, with properties calculated at the PBE+U level. Values from VASP.

V (Å³/cell): 108.3
Mass density (g/cm³): 4.7

Cell and atoms, written as Quantum ESPRESSO input:
```
&SYSTEM
  ibrav = 0, nat = 5, ntyp = 4
/
ATOMIC_SPECIES
Br 79.90 Br.upf
F 19.00 F.upf
As 74.92 As.upf
Ni 58.69 Ni.upf
ATOMIC_POSITIONS angstrom
Br 2.094 2.098 -0.356
F 0.000 0.000 0.000
As 0.638 -0.296 2.010
As -1.377 1.486 0.655
Ni 1.355 3.289 2.310
CELL_PARAMETERS angstrom
-2.755 2.972 1.311
1.275 -0.591 4.021
4.189 4.197 -0.712
```

Compare the structures above. Which one is the most stable? A is.